## TaP2Br (GGA-PBE)

Data for a relaxed structure of TaP2Br.

Cell lengths 3.521, 4.506, 11.609 Å; angles 90.00, 90.00, 90.00 degrees
Space group Cmmm (No. 65)
Inequivalent atoms, fractional coordinates:
Ta: 0.000 0.000 0.000
P: 0.000 0.500 0.161
Br: 0.000 0.000 0.500

Properties
Its total energy is -48.51 eV for the cell shown. The formation energy without anion corrections comes out at 0.022 eV per atom.